Entry 1:
Material: LaTl2Pt9
Method: DFT, PBE
State: optimized geometry

Output
Crystal system   trigonal
Final energy   -5.77 eV/atom
E_form   -5.179 eV per formula unit
Spin magnetization   0.00 μB per formula unit
Theoretical density   16.727 g/cm3
Calculated volume   19.1 A^3/atom

CIF file:
```
data_LaTl2Pt9
_chemical_formula_sum 'La1 Tl2 Pt9'
_cell_length_a 9.307
_cell_length_b 9.307
_cell_length_c 9.307
_cell_angle_alpha 34.33
_cell_angle_beta 34.33
_cell_angle_gamma 34.33
_space_group_name_H-M_alt 'P 1'
_space_group_IT_number 1
loop_
_space_group_symop_operation_xyz
'x,y,z'
loop_
_atom_site_label
_atom_site_fract_x
_atom_site_fract_y
_atom_site_fract_z
_atom_site_occupancy
La1 0.000 0.000 0.000 1
Tl1 0.142 0.142 0.142 1
Tl2 0.858 0.858 0.858 1
Pt1 0.081 0.585 0.585 1
Pt2 0.333 0.333 0.333 1
Pt3 0.415 0.415 0.919 1
Pt4 0.415 0.919 0.415 1
Pt5 0.500 0.500 0.500 1
Pt6 0.585 0.081 0.585 1
Pt7 0.585 0.585 0.081 1
Pt8 0.667 0.667 0.667 1
Pt9 0.919 0.415 0.415 1
```

Entry 2:
Material: LaTl2Pt2
Method: DFT, PBE
State: optimized geometry

Output
Crystal system   tetragonal
Final energy   -4.86 eV/atom
Energy above the lowest structure with this stoichiometry   0.00 eV per formula unit
E_form   -2.575 eV per formula unit
Spin magnetization   0.00 μB per formula unit
Theoretical density   12.836 g/cm3
Calculated volume   24.3 A^3/atom

CIF file:
```
data_LaTl2Pt2
_chemical_formula_sum 'La1 Tl2 Pt2'
_cell_length_a 7.238
_cell_length_b 7.238
_cell_length_c 7.238
_cell_angle_alpha 145.46
_cell_angle_beta 145.46
_cell_angle_gamma 49.65
_space_group_name_H-M_alt 'P 1'
_space_group_IT_number 1
loop_
_space_group_symop_operation_xyz
'x,y,z'
loop_
_atom_site_label
_atom_site_fract_x
_atom_site_fract_y
_atom_site_fract_z
_atom_site_occupancy
La1 0.000 0.000 0.000 1
Tl1 0.250 0.750 0.500 1
Tl2 0.750 0.250 0.500 1
Pt1 0.402 0.402 0.000 1
Pt2 0.598 0.598 0.000 1
```